[1]
Material: Nb2Te6Rh
Method: DFT, PBE
State: optimized geometry

Structure (POSCAR):
```
Nb2Te6Rh
1.0
3.516 0.000 -0.806
-0.423 8.993 -1.847
-0.047 -0.331 7.870
Te Nb Rh
6 2 1
direct
0.371 0.427 0.741
0.323 0.868 0.646
0.677 0.132 0.354
0.999 0.212 0.998
0.629 0.573 0.259
0.001 0.788 0.002
0.815 0.621 0.631
0.185 0.379 0.369
0.500 0.000 0.000
```

Values from the calculation:
formation energy without anion corrections: -0.4066 eV/atom
density: 7.11 g/cm³
magnetic moment: 0.00 μB/f.u.
Fermi-level density of states: 5.108 states/eV/f.u.

[2]
Material: Nb5Te12Rh
Method: DFT, PBE
State: optimized geometry

Structure (POSCAR):
```
Nb5Te12Rh
1.0
6.276 0.000 0.375
3.138 5.578 0.188
0.934 0.000 14.747
Te Nb Rh
12 5 1
direct
0.358 0.658 0.884
0.206 0.333 0.373
0.642 0.342 0.116
0.461 0.333 0.627
0.015 0.342 0.884
0.265 0.000 0.135
0.128 0.000 0.626
0.871 0.000 0.374
0.539 0.667 0.373
0.985 0.658 0.116
0.794 0.667 0.627
0.735 0.000 0.865
0.500 0.000 0.500
0.364 0.272 0.000
0.167 0.666 0.500
0.636 0.728 0.000
0.833 0.334 0.500
0.000 0.000 0.000
```

Values from the calculation:
formation energy without anion corrections: -0.4047 eV/atom
density: 6.78 g/cm³
magnetic moment: 0.00 μB/f.u.
Fermi-level density of states: 9.214 states/eV/f.u.

[3]
Material: TiNb2TeRh
Method: DFT, PBE
State: optimized geometry

Structure (POSCAR):
```
TiNb2TeRh
1.0
-0.075 -2.339 -4.307
-0.144 -4.116 2.238
-4.898 0.168 -0.007
Rh Ti Nb Te
1 1 2 1
direct
0.000 0.000 0.000
0.000 0.500 0.000
0.500 0.000 0.000
0.000 0.000 0.500
0.500 0.500 0.500
```

Values from the calculation:
formation energy without anion corrections: 0.5915 eV/atom
density: 6.85 g/cm³
magnetic moment: 0.45 μB/f.u.
Fermi-level density of states: 7.849 states/eV/f.u.

[4]
Material: Th3NbRh12
Method: DFT, PBE
State: optimized geometry

Structure (POSCAR):
```
Th3NbRh12
1.0
4.069 0.000 0.000
0.000 4.069 0.000
0.000 0.000 16.364
Rh Th Nb
12 3 1
direct
0.500 0.500 0.500
0.500 0.000 0.112
0.000 0.500 0.629
0.500 0.000 0.888
0.000 0.500 0.112
0.500 0.500 0.759
0.000 0.500 0.888
0.500 0.500 0.241
0.000 0.500 0.371
0.500 0.500 0.000
0.500 0.000 0.629
0.500 0.000 0.371
0.000 0.000 0.244
0.000 0.000 0.756
0.000 0.000 0.500
0.000 0.000 0.000
```

Values from the calculation:
density: 12.40 g/cm³
magnetic moment: 0.00 μB/f.u.
ΔE_f: -657 meV/atom
Fermi-level density of states: 15.194 states/eV/f.u.

Look up the Fermi-level density of states of the fourth one.
15.194 states/eV/f.u.